Record 1
A plane-wave DFT calculation with PBE-GGA was carried out for an optimized crystal structure of Sc2TcOs2.

ΔE to the lowest computed polymorph in meV per atom: 271.4
Formation enthalpy at 0 K in eV per atom: 0.8265

Lattice parameters (Å, degrees): 6.5203 6.5203 6.5203 144.43 144.43 51.18
Atoms (fractional coordinates):
Os1 0.3990 0.3990 0.0000
Os2 0.6010 0.6010 0.0000
Sc1 0.7500 0.2500 0.5000
Sc2 0.2500 0.7500 0.5000
Tc1 0.0000 0.0000 0.0000

Record 2
A plane-wave DFT calculation with PBE-GGA was carried out for an optimized crystal structure of KErSnSe3.

Lattice parameters (Å, degrees): 8.6687 8.6687 11.7486 90.00 90.00 152.74
Atoms (fractional coordinates):
Er1 0.0000 0.0000 0.0000
Er2 0.0000 0.0000 0.5000
K1 0.6817 0.3183 0.2500
K2 0.3183 0.6817 0.7500
Se1 0.3842 0.6158 0.0021
Se2 0.9925 0.0075 0.2500
Se3 0.3842 0.6158 0.4979
Se4 0.6158 0.3842 0.5021
Se5 0.0075 0.9925 0.7500
Se6 0.6158 0.3842 0.9979
Sn1 0.3811 0.6189 0.2500
Sn2 0.6189 0.3811 0.7500

Record 3
A plane-wave DFT calculation with PBE-GGA was carried out for an optimized crystal structure of LiErCdTe3.

ΔE to the lowest computed polymorph in meV per atom: 0.0

Lattice parameters (Å, degrees): 14.5834 4.3380 12.0542 90.00 90.00 90.00
Atoms (fractional coordinates):
Cd1 0.5286 0.2500 0.1058
Cd2 0.0286 0.2500 0.3942
Cd3 0.9714 0.7500 0.6058
Cd4 0.4714 0.7500 0.8942
Er1 0.0234 0.7500 0.1514
Er2 0.5234 0.7500 0.3486
Er3 0.4766 0.2500 0.6514
Er4 0.9766 0.2500 0.8486
Li1 0.7768 0.7500 0.1888
Li2 0.2768 0.7500 0.3112
Li3 0.7232 0.2500 0.6888
Li4 0.2232 0.2500 0.8112
Te1 0.8887 0.2500 0.0765
Te2 0.4020 0.7500 0.1232
Te3 0.1608 0.2500 0.2258
Te4 0.6608 0.2500 0.2742
Te5 0.9020 0.7500 0.3768
Te6 0.3887 0.2500 0.4235
Te7 0.6113 0.7500 0.5765
Te8 0.0980 0.2500 0.6232
Te9 0.3392 0.7500 0.7258
Te10 0.8392 0.7500 0.7742
Te11 0.5980 0.2500 0.8768
Te12 0.1113 0.7500 0.9235

Energy? In order: -8.267, -4.529, -3.742 eV per atom.